Record 1
Entry from Alexandria via LeMat-Bulk: crystalline Hf3SiO at its relaxed geometry (PBE).

a = 4.353 Å, b = 4.353 Å, c = 4.353 Å
α = 90.00°, β = 90.00°, γ = 90.00°
Atoms (fractional coordinates):
1 Si 0.500 0.500 0.500
2 Hf 0.000 0.500 0.000
3 Hf 0.000 0.000 0.500
4 Hf 0.500 0.000 0.000
5 O 0.000 0.000 0.000

Calculated values
For the energy relative to the elements, uncorrected, the calculation gives -0.9759 eV per atom. As for the total energy: -45.1 eV/f.u. For the volume, the calculation gives 16.500 Å³/atom. Its space-group type is Pm-3m. The value obtained for the magnetization is 0.000 Bohr magnetons per cell.

Record 2
Entry from Alexandria via LeMat-Bulk: crystalline HfSi3O at its relaxed geometry (PBE).

a = 5.069 Å, b = 5.069 Å, c = 5.069 Å
α = 90.00°, β = 90.00°, γ = 90.00°
Each line ends with the local moment (μB).
Atoms (fractional coordinates):
1 Si 0.000 0.500 0.000  0.04
2 Si 0.000 0.000 0.500  0.03
3 Si 0.500 0.000 0.000  0.05
4 Hf 0.000 0.000 0.000  0.21
5 O 0.500 0.500 0.500  1.23

Calculated values
For the energy relative to the elements, uncorrected, the calculation gives 1.2727 eV per atom. As for the total energy: -24.8 eV/f.u. For the volume, the calculation gives 26.055 Å³/atom. Its space-group type is Pm-3m. The value obtained for the magnetization is 2.146 Bohr magnetons per cell.

Record 3
Entry from Alexandria via LeMat-Bulk: crystalline HfSi3O at its relaxed geometry (PBE).

a = 4.139 Å, b = 4.139 Å, c = 4.139 Å
α = 90.00°, β = 90.00°, γ = 90.00°
Atoms (fractional coordinates):
1 Si 0.000 0.500 0.000
2 Si 0.000 0.000 0.500
3 Si 0.500 0.000 0.000
4 Hf 0.500 0.500 0.500
5 O 0.000 0.000 0.000

Calculated values
For the energy relative to the elements, uncorrected, the calculation gives -0.2581 eV per atom. As for the total energy: -32.5 eV/f.u. For the volume, the calculation gives 14.179 Å³/atom. Its space-group type is Pm-3m. The value obtained for the magnetization is 0.000 Bohr magnetons per cell.

Record 4
Entry from Alexandria via LeMat-Bulk: crystalline HfSiO3 at its relaxed geometry (PBE).

a = 3.658 Å, b = 3.658 Å, c = 3.658 Å
α = 90.00°, β = 90.00°, γ = 90.00°
Each line ends with the local moment (μB).
Atoms (fractional coordinates):
1 Hf 0.500 0.500 0.500  0.82
2 Si 0.000 0.000 0.000  0.00
3 O 0.000 0.500 0.000  0.01
4 O 0.000 0.000 0.500  0.01
5 O 0.500 0.000 0.000  0.01

Calculated values
For the energy relative to the elements, uncorrected, the calculation gives -1.6021 eV per atom. As for the total energy: -38.3 eV/f.u. For the volume, the calculation gives 9.790 Å³/atom. Its space-group type is Pm-3m. The value obtained for the magnetization is 1.137 Bohr magnetons per cell.

Record 5
Entry from Alexandria via LeMat-Bulk: crystalline HfSiO2 at its relaxed geometry (PBE).

a = 6.881 Å, b = 6.881 Å, c = 6.881 Å
α = 26.49°, β = 26.49°, γ = 26.49°
Atoms (fractional coordinates):
1 Si 0.000 0.000 0.000
2 Hf 0.500 0.500 0.500
3 O 0.890 0.890 0.890
4 O 0.110 0.110 0.110

Calculated values
For the energy relative to the elements, uncorrected, the calculation gives -1.9310 eV per atom. As for the total energy: -33.0 eV/f.u. For the volume, the calculation gives 14.281 Å³/atom. Its space-group type is R-3m. The value obtained for the magnetization is 0.000 Bohr magnetons per cell.

Record 6
Entry from Alexandria via LeMat-Bulk: crystalline HfSiO3 at its relaxed geometry (PBE).

a = 4.053 Å, b = 4.053 Å, c = 4.053 Å
α = 90.00°, β = 90.00°, γ = 90.00°
Atoms (fractional coordinates):
1 Si 0.500 0.500 0.500
2 Hf 0.000 0.000 0.000
3 O 0.000 0.500 0.000
4 O 0.000 0.000 0.500
5 O 0.500 0.000 0.000

Calculated values
For the energy relative to the elements, uncorrected, the calculation gives -1.9258 eV per atom. As for the total energy: -39.9 eV/f.u. For the volume, the calculation gives 13.318 Å³/atom. Its space-group type is Pm-3m. The value obtained for the magnetization is 0.000 Bohr magnetons per cell.